Below is a relaxed structure of Pm5Si2Br, with properties calculated at the PBE level.

Unit cell a=9.051 b=9.051 c=9.051 alpha=129.53 beta=129.53 gamma=74.17
Atoms (fractional coordinates):
Pm 0.000 0.000 0.000
Pm 0.026 0.526 0.830
Pm 0.196 0.026 0.500
Pm 0.304 0.804 0.830
Pm 0.474 0.304 0.500
Pm 0.500 0.500 0.000
Pm 0.526 0.696 0.500
Pm 0.696 0.196 0.170
Pm 0.804 0.974 0.500
Pm 0.974 0.474 0.170
Si 0.126 0.374 0.500
Si 0.374 0.874 0.248
Si 0.626 0.126 0.752
Si 0.874 0.626 0.500
Br 0.250 0.250 0.000
Br 0.750 0.750 0.000

- Space-group type: I4/mcm, No. 140
- M_tot: 0.01 Bohr magnetons per cell
- Formation energy from raw total energies: -57.9 kJ/mol of atoms